# 1
{
  "formula": "Li3Nb4FeO12",
  "functional": "GGA-PBEsol",
  "state": "optimized geometry",
  "space_group": "P1",
  "raw_formation_energy_ev_per_atom": -2.314,
  "lattice": [[5.127, 0.018, 0.027], [0.020, 5.581, 0.024], [0.045, 0.726, 7.477]],
  "species": ["Li", "Li", "Li", "Nb", "Nb", "Nb", "Nb", "O", "O", "O", "O", "O", "O", "O", "O", "O", "O", "O", "O", "Fe"],
  "frac_coords": [[0.500, 0.927, 0.217], [0.499, 0.928, 0.722], [0.998, 0.433, 0.214], [0.999, 0.007, 0.498], [0.496, 0.506, 0.511], [0.998, 0.993, 0.004], [0.505, 0.493, 0.013], [0.682, 0.210, 0.590], [0.814, 0.715, 0.591], [0.865, 0.045, 0.258], [0.679, 0.847, 0.956], [0.169, 0.346, 0.447], [0.138, 0.051, 0.761], [0.308, 0.215, 0.087], [0.365, 0.552, 0.768], [0.323, 0.846, 0.454], [0.194, 0.716, 0.087], [0.630, 0.542, 0.262], [0.830, 0.353, 0.943], [0.010, 0.416, 0.688]]
}



# 2
{
  "formula": "LaCoIr",
  "functional": "GGA-PBEsol",
  "state": "optimized geometry",
  "formation_enthalpy_0k_ev_per_atom": 0.1588,
  "space_group": "F-43m",
  "lattice": [[-2.583, -3.505, 0.302], [-1.524, -1.906, -3.618], [1.495, -3.922, -1.196]],
  "species": ["Co", "La", "Ir"],
  "frac_coords": [[0.250, 0.250, 0.250], [0.500, 0.500, 0.500], [0.000, 0.000, 0.000]]
}



# 3
{
  "formula": "MnAlTl2",
  "functional": "GGA-PBEsol",
  "state": "optimized geometry",
  "formation_enthalpy_0k_ev_per_atom": 0.3492,
  "space_group": "R3m",
  "e_above_lowest_polymorph_ev_per_atom": 0.0000,
  "lattice": [[-2.759, -1.552, 0.243], [-0.048, -3.174, -0.083], [0.038, -1.836, 9.444]],
  "species": ["Mn", "Tl", "Tl", "Al"],
  "frac_coords": [[0.243, 0.243, 0.271], [0.989, 0.989, 0.034], [0.756, 0.756, 0.733], [0.512, 0.512, 0.463]]
}



# 4
{
  "formula": "Mn2Pb2Se",
  "functional": "GGA-PBEsol",
  "state": "optimized geometry",
  "space_group": "I4/mmm",
  "raw_formation_energy_ev_per_atom": 0.541,
  "lattice": [[3.166, 0.000, 0.000], [0.000, 3.166, 0.000], [-1.583, -1.583, 10.103]],
  "species": ["Se", "Pb", "Pb", "Mn", "Mn"],
  "frac_coords": [[0.000, 0.000, 0.000], [0.629, 0.629, 0.259], [0.371, 0.371, 0.741], [0.750, 0.250, 0.500], [0.250, 0.750, 0.500]]
}



Number 1: DOS at the Fermi energy 0.166 states/eV/atom, electronic total energy -8.37 eV/atom. Number 2: DOS at the Fermi energy 1.630 states/eV/atom, electronic total energy -7.48 eV/atom. Number 3: DOS at the Fermi energy 0.528 states/eV/atom, electronic total energy -4.43 eV/atom. Number 4: DOS at the Fermi energy 1.007 states/eV/atom, electronic total energy -5.73 eV/atom.